## HoPuHgIr (PBE-GGA)

Data for an optimized crystal structure of HoPuHgIr.

Its formation energy is -378 meV per atom.

Unit cell a=5.0450 b=5.0450 c=5.0450 alpha=60.00 beta=60.00 gamma=60.00
Fractional coordinates of all 4 atoms:
Ho1 0.0000 0.0000 0.0000
Pu1 0.5000 0.5000 0.5000
Hg1 0.7500 0.7500 0.7500
Ir1 0.2500 0.2500 0.2500